Entry 1:
# SbAs2Br PBE optimized geometry
data_SbAs2Br
_chemical_formula_sum 'Sb1 As2 Br1'
_cell_length_a 3.555
_cell_length_b 3.555
_cell_length_c 7.753
_cell_angle_alpha 90.00
_cell_angle_beta 90.00
_cell_angle_gamma 90.00
_space_group_name_H-M_alt 'P 1'
_space_group_IT_number 1
_space_group_name_Hall 'P 1'
loop_
_atom_site_label
_atom_site_type_symbol
_atom_site_fract_x
_atom_site_fract_y
_atom_site_fract_z
_atom_site_occupancy
Sb1 Sb 0.000 0.000 0.000 1
As1 As 0.000 0.000 0.380 1
As2 As 0.500 0.500 0.238 1
Br1 Br 0.500 0.500 0.733 1
# Relative energy among the computed polymorphs   0.62 eV per formula unit
# Total DFT energy (no corrections)   -14.62 eV/cell
# Density of states at the Fermi level   2.68 states/eV per cell
# Uncorrected formation energy   0.1174 eV/atom


Entry 2:
# KGaSn2S6 PBE optimized geometry
data_KGaSn2S6
_chemical_formula_sum 'K2 Ga2 Sn4 S12'
_cell_length_a 9.446
_cell_length_b 9.446
_cell_length_c 7.257
_cell_angle_alpha 111.36
_cell_angle_beta 111.36
_cell_angle_gamma 82.13
_space_group_name_H-M_alt 'P 1'
_space_group_IT_number 1
_space_group_name_Hall 'P 1'
loop_
_atom_site_label
_atom_site_type_symbol
_atom_site_fract_x
_atom_site_fract_y
_atom_site_fract_z
_atom_site_occupancy
K1 K 0.184 0.816 0.750 1
K2 K 0.816 0.184 0.250 1
Ga1 Ga 0.333 0.667 0.250 1
Ga2 Ga 0.667 0.333 0.750 1
Sn1 Sn 0.132 0.318 0.891 1
Sn2 Sn 0.318 0.132 0.391 1
Sn3 Sn 0.682 0.868 0.609 1
Sn4 Sn 0.868 0.682 0.109 1
S1 S 0.100 0.156 0.066 1
S2 S 0.122 0.593 0.285 1
S3 S 0.156 0.100 0.566 1
S4 S 0.329 0.479 0.937 1
S5 S 0.407 0.878 0.215 1
S6 S 0.479 0.329 0.437 1
S7 S 0.521 0.671 0.563 1
S8 S 0.593 0.122 0.785 1
S9 S 0.671 0.521 0.063 1
S10 S 0.844 0.900 0.434 1
S11 S 0.878 0.407 0.715 1
S12 S 0.900 0.844 0.934 1
# Total DFT energy (no corrections)   -85.44 eV/cell
# Uncorrected formation energy   -0.5827 eV/atom


> uncorrected formation energy of number 1 (SbAs2Br)?

0.1174 eV/atom


> The lowest total DFT energy (no corrections) belongs to which entry?

KGaSn2S6